(1)
Below is Be2As2Pb after structural relaxation, with properties calculated at the GGA-PBE level.

abc: 3.7027 3.7027 7.2828
angles: 75.27 75.27 90.00
With the nearest neighbours (Å) after each atom.
Fractional positions:
Pb  0.0000  0.0000  0.0000  8 As 3.29
Be  0.7500  0.2500  0.5000  4 As 2.32
Be  0.2500  0.7500  0.5000  4 As 2.32
As  0.3531  0.3531  0.2938  4 Be 2.32
As  0.6469  0.6469  0.7062  4 Be 2.32

Values from the calculation:
offset from the most stable computed form: 0.000 eV per atom
symmetry: No. 139

(2)
Below is BeAs2Pb after structural relaxation, with properties calculated at the GGA-PBE level.

abc: 4.8110 4.7938 4.8090
angles: 71.45 68.55 108.56
With the nearest neighbours (Å) after each atom.
Fractional positions:
Pb  0.5000  0.5000  0.0000  2 Be 2.71, 4 As 2.80
Be  0.0000  0.5000  0.5000  2 Pb 2.71, 4 As 2.80
As  0.0000  0.0000  0.0000  2 As 2.71, 2 Pb 2.80, 2 Be 2.80
As  0.5000  0.0000  0.5000  2 As 2.71, 2 Be 2.80, 2 Pb 2.80

Values from the calculation:
symmetry: No. 69

(3)
Below is BeAs2Pb after structural relaxation, with properties calculated at the GGA-PBE level.

abc: 5.3015 5.3015 5.3014
angles: 139.88 114.26 79.89
With the nearest neighbours (Å) after each atom.
Fractional positions:
Pb  0.2823  0.7823  0.5000  2 Be 2.83
Be  0.5494  0.5494  0.0000  2 As 2.22
As  0.9612  0.9612  0.0000  2 As 2.75
As  0.7070  0.2070  0.5000  2 Be 2.22

Values from the calculation:
symmetry: No. 44

(4)
Below is BeAs2Pb after structural relaxation, with properties calculated at the GGA-PBE level.

abc: 3.5913 4.2265 5.8772
angles: 70.07 90.00 90.00
With the nearest neighbours (Å) after each atom.
Fractional positions:
Pb  0.5000  0.7500  0.7500  2 Be 2.98, 4 As 3.23
Be  0.5000  0.2500  0.2500  4 As 2.33
As  0.0000  0.0426  0.0901  2 Be 2.33, 1 As 2.55
As  0.0000  0.4574  0.4099  2 Be 2.33, 1 As 2.55

Values from the calculation:
symmetry: No. 10

(5)
Below is BeAs2Pb after structural relaxation, with properties calculated at the GGA-PBE level.

abc: 4.1047 4.1031 5.7490
angles: 90.01 90.00 90.00
With the nearest neighbours (Å) after each atom.
Fractional positions:
Pb  0.5000  0.8758  0.7500  4 As 2.73
Be  0.0000  0.3741  0.2500  4 As 2.31-2.32
As  0.0000  0.8745  0.0633  2 Be 2.31-2.32
As  0.5000  0.3756  0.4367  2 Be 2.32

Values from the calculation:
symmetry: No. 6

(6)
Below is BeAsPb after structural relaxation, with properties calculated at the GGA-PBE level.

abc: 6.6913 6.3709 3.4319
angles: 80.00 69.66 30.34
With the nearest neighbours (Å) after each atom.
Fractional positions:
Pb  0.6915  0.6915  0.3085  2 Be 2.88, 1 As 3.05
Be  0.3658  0.3658  0.6342  2 As 2.16
As  0.9428  0.9428  0.0572  2 Be 2.16

Values from the calculation:
offset from the most stable computed form: 0.261 eV per atom
symmetry: No. 42

| no. | formation energy from the elements (meV/atom) | DFT total energy (eV/atom) |
| --- | --- | --- |
| 1 | -31 | -4.12 |
| 2 | 479 | -3.70 |
| 3 | 445 | -3.74 |
| 4 | 158 | -4.02 |
| 5 | -1 | -4.18 |
| 6 | 259 | -3.77 |